Entry 1:
Computed, not measured: a relaxed La6PrCo2 crystal at the PBE level of DFT.

Unit cell a=8.615 b=8.615 c=9.491 alpha=111.87 beta=111.87 gamma=60.30
Atoms (fractional coordinates):
La: 0.055 0.638 0.444
La: 0.076 0.667 0.844
La: 0.275 0.423 0.116
La: 0.333 0.924 0.656
La: 0.362 0.945 0.056
La: 0.423 0.275 0.616
La: 0.577 0.725 0.384
La: 0.638 0.055 0.944
La: 0.667 0.076 0.344
La: 0.725 0.577 0.884
La: 0.924 0.333 0.156
La: 0.945 0.362 0.556
Pr: 0.078 0.922 0.250
Pr: 0.922 0.078 0.750
Co: 0.165 0.264 0.853
Co: 0.264 0.165 0.353
Co: 0.736 0.835 0.647
Co: 0.835 0.736 0.147

## Properties
Space-group type: C2/c (15)
ΔE_f (eV/atom): -0.006
Volume (Å³/atom): 30.67
Total energy (eV per atom): -5.40

=====

Entry 2:
Computed, not measured: a relaxed MnNi2Cl crystal at the PBE level of DFT.

Unit cell a=5.312 b=5.312 c=5.312 alpha=102.48 beta=102.48 gamma=124.61
Atoms (fractional coordinates):
Mn: 0.000 0.000 0.000
Mn: 0.750 0.250 0.500
Ni: 0.154 0.625 0.029
Ni: 0.375 0.404 0.529
Ni: 0.596 0.125 0.971
Ni: 0.875 0.846 0.471
Cl: 0.250 0.750 0.500
Cl: 0.500 0.500 0.000

## Properties
Space-group type: I-42d (122)
Uncorrected formation energy (eV/atom): 0.45
Volume (Å³/atom): 13.65
Total energy (eV per atom): -5.20

=====

Entry 3:
Computed, not measured: a relaxed TbY12Ho6 crystal at the PBE level of DFT.

Unit cell a=9.124 b=9.124 c=9.124 alpha=106.62 beta=106.62 gamma=106.62
Atoms (fractional coordinates):
Tb: 0.000 0.000 0.000
Y: 0.137 0.826 0.281
Y: 0.174 0.719 0.863
Y: 0.191 0.577 0.482
Y: 0.281 0.137 0.826
Y: 0.423 0.518 0.809
Y: 0.482 0.191 0.577
Y: 0.518 0.809 0.423
Y: 0.577 0.482 0.191
Y: 0.719 0.863 0.174
Y: 0.809 0.423 0.518
Y: 0.826 0.281 0.137
Y: 0.863 0.174 0.719
Ho: 0.076 0.186 0.453
Ho: 0.186 0.453 0.076
Ho: 0.453 0.076 0.186
Ho: 0.547 0.924 0.814
Ho: 0.814 0.547 0.924
Ho: 0.924 0.814 0.547

## Properties
Space-group type: R-3 (148)
ΔE_f (eV/atom): 0.257
Volume (Å³/atom): 33.63
Total energy (eV per atom): -5.51

=====

Q: Which of these has the lowest total energy?
A: TbY12Ho6